1.
A relaxed CeNdGdTm crystal, computed with GGA-PBE.

Results
- Size of the total moment: 10.4 μB/f.u.
- Formation energy: 0.17 eV/atom
- Space-group type: F-43m
- DOS at the Fermi energy: 9.53 states/eV/f.u.
- VASP energy: -7.142 eV per atom

Cell: 5.7003 5.7003 5.7003 Å, 60.00 60.00 60.00°
Each line ends with the local moment (μB).
Fractional coordinates of all 4 atoms:
Gd1 0.0000 0.0000 0.0000  7.43
Tm1 0.7500 0.7500 0.7500  0.36
Nd1 0.5000 0.5000 0.5000  0.25
Ce1 0.2500 0.2500 0.2500  1.14

---

2.
A relaxed CeNdGdY crystal, computed with GGA-PBE.

Results
- Size of the total moment: 10.4 μB/f.u.
- Formation energy: 0.17 eV/atom
- Space-group type: F-43m
- DOS at the Fermi energy: 9.77 states/eV/f.u.
- VASP energy: -7.642 eV per atom

Cell: 5.7363 5.7363 5.7363 Å, 60.00 60.00 60.00°
Each line ends with the local moment (μB).
Fractional coordinates of all 4 atoms:
Y1 0.7500 0.7500 0.7500  0.25
Gd1 0.0000 0.0000 0.0000  7.43
Nd1 0.5000 0.5000 0.5000  0.24
Ce1 0.2500 0.2500 0.2500  1.12

---

3.
A relaxed CeGdNi4 crystal, computed with GGA-PBE.

Results
- Size of the total moment: 7.4 μB/f.u.
- Formation energy: -0.38 eV/atom
- Space-group type: F-43m
- DOS at the Fermi energy: 5.08 states/eV/f.u.
- VASP energy: -7.574 eV per atom

Cell: 5.0919 5.0919 5.0919 Å, 60.00 60.00 60.00°
Each line ends with the local moment (μB).
Fractional coordinates of all 6 atoms:
Ni1 0.6250 0.6250 0.1251  -0.02
Ni2 0.6250 0.1251 0.6250  -0.02
Ni3 0.6250 0.6250 0.6250  -0.02
Ni4 0.1251 0.6250 0.6250  -0.02
Gd1 0.0000 0.0000 0.0000  7.00
Ce1 0.2500 0.2500 0.2500  0.27